Computed, not measured: In4Pb3 after structural relaxation at the PBEsol level of DFT.

Results
energy of formation = 27 meV/atom
energy = -0.249 Ry per atom
V = 27.28 A^3/atom
crystal system = tetragonal

Lattice parameters (Å, degrees): 3.891 3.891 25.222 90.00 90.00 90.00
Fractional positions:
In  0.000  0.000  0.073
In  0.000  0.000  0.362
In  0.000  0.000  0.638
In  0.000  0.000  0.927
In  0.500  0.500  0.138
In  0.500  0.500  0.427
In  0.500  0.500  0.573
In  0.500  0.500  0.862
Pb  0.000  0.000  0.210
Pb  0.000  0.000  0.500
Pb  0.000  0.000  0.790
Pb  0.500  0.500  0.000
Pb  0.500  0.500  0.290
Pb  0.500  0.500  0.710

***

Computed, not measured: ThTaN3 after structural relaxation at the PBEsol level of DFT.

Results
energy = -0.799 Ry per atom
formation energy without anion corrections = -8.13 eV per formula unit
V = 12.91 A^3/atom
crystal system = orthorhombic

Lattice parameters (Å, degrees): 5.713 7.998 5.649 90.00 90.00 90.00
Fractional positions:
Th  0.044  0.250  0.006
Th  0.456  0.750  0.506
Th  0.544  0.250  0.494
Th  0.956  0.750  0.994
Ta  0.000  0.000  0.500
Ta  0.000  0.500  0.500
Ta  0.500  0.000  0.000
Ta  0.500  0.500  0.000
N  0.025  0.750  0.409
N  0.200  0.548  0.798
N  0.200  0.952  0.798
N  0.300  0.048  0.298
N  0.300  0.452  0.298
N  0.475  0.250  0.909
N  0.525  0.750  0.091
N  0.700  0.548  0.702
N  0.700  0.952  0.702
N  0.800  0.048  0.202
N  0.800  0.452  0.202
N  0.975  0.250  0.591

***

Computed, not measured: KSN2O after structural relaxation at the PBEsol level of DFT.

Results
energy = -0.217 Ry per atom
formation energy without anion corrections = 13.07 eV per formula unit
V = 26.99 A^3/atom
crystal system = tetragonal

Lattice parameters (Å, degrees): 5.278 5.278 4.845 90.00 90.00 90.00
Fractional positions:
K  0.000  0.000  0.000
S  0.500  0.500  0.500
N  0.000  0.500  0.000
N  0.500  0.000  0.000
O  0.000  0.000  0.500

***

Computed, not measured: TlP2Se after structural relaxation at the PBEsol level of DFT.

Results
energy = -0.287 Ry per atom
formation energy without anion corrections = 2.43 eV per formula unit
V = 18.95 A^3/atom
crystal system = cubic
energy relative to the lowest polymorph listed for this composition = 566.7 meV/atom

Lattice parameters (Å, degrees): 6.718 6.718 6.718 90.00 90.00 90.00
Fractional positions:
Tl  0.000  0.000  0.000
Tl  0.000  0.500  0.500
Tl  0.500  0.000  0.500
Tl  0.500  0.500  0.000
P  0.000  0.000  0.500
P  0.000  0.500  0.000
P  0.250  0.250  0.750
P  0.250  0.750  0.250
P  0.500  0.000  0.000
P  0.500  0.500  0.500
P  0.750  0.250  0.250
P  0.750  0.750  0.750
Se  0.250  0.250  0.250
Se  0.250  0.750  0.750
Se  0.750  0.250  0.750
Se  0.750  0.750  0.250

***

Computed, not measured: SiAg2Cl after structural relaxation at the PBEsol level of DFT.

Results
energy = -0.247 Ry per atom
formation energy without anion corrections = 0.92 eV per formula unit
V = 17.40 A^3/atom
crystal system = orthorhombic
energy relative to the lowest polymorph listed for this composition = 0.0 meV/atom

Lattice parameters (Å, degrees): 5.621 7.947 3.116 90.00 90.00 90.00
Fractional positions:
Si  0.000  0.000  0.000
Si  0.500  0.500  0.000
Ag  0.250  0.250  0.500
Ag  0.250  0.750  0.500
Ag  0.750  0.250  0.500
Ag  0.750  0.750  0.500
Cl  0.000  0.500  0.000
Cl  0.500  0.000  0.000

***

Computed, not measured: GeP3I after structural relaxation at the PBEsol level of DFT.

Results
energy = -0.284 Ry per atom
formation energy without anion corrections = 4.79 eV per formula unit
V = 21.13 A^3/atom
crystal system = cubic

Lattice parameters (Å, degrees): 4.728 4.728 4.728 90.00 90.00 90.00
Fractional positions:
Ge  0.000  0.000  0.000
P  0.000  0.000  0.500
P  0.000  0.500  0.000
P  0.500  0.000  0.000
I  0.500  0.500  0.500

***

Computed, not measured: K2MgBe after structural relaxation at the PBEsol level of DFT.

Results
energy of formation = 493 meV/atom
energy = -0.110 Ry per atom
V = 34.52 A^3/atom
crystal system = tetragonal
energy relative to the lowest polymorph listed for this composition = 0.0 meV/atom

Lattice parameters (Å, degrees): 3.679 3.679 10.200 90.00 90.00 90.00
Fractional positions:
K  0.000  0.000  0.000
K  0.500  0.500  0.399
Mg  0.000  0.000  0.675
Be  0.500  0.500  0.744

***

Computed, not measured: TePtSe2 after structural relaxation at the PBEsol level of DFT.

Results
energy = -0.301 Ry per atom
formation energy without anion corrections = 1.79 eV per formula unit
V = 19.38 A^3/atom
crystal system = tetragonal

Lattice parameters (Å, degrees): 4.765 4.765 3.415 90.00 90.00 90.00
Fractional positions:
Te  0.000  0.000  0.000
Pt  0.500  0.500  0.000
Se  0.000  0.500  0.500
Se  0.500  0.000  0.500

***

Computed, not measured: KLi2Te after structural relaxation at the PBEsol level of DFT.

Results
energy = -0.196 Ry per atom
formation energy without anion corrections = -2.08 eV per formula unit
V = 33.59 A^3/atom
crystal system = monoclinic

Lattice parameters (Å, degrees): 4.998 4.616 5.928 90.00 100.74 90.00
Fractional positions:
K  0.000  0.000  0.000
Li  0.425  0.500  0.715
Li  0.575  0.500  0.285
Te  0.500  0.000  0.500

***

Computed, not measured: ZrCdW after structural relaxation at the PBEsol level of DFT.

Results
energy of formation = 279 meV/atom
energy = -0.570 Ry per atom
V = 18.50 A^3/atom
crystal system = tetragonal
energy relative to the lowest polymorph listed for this composition = 0.0 meV/atom

Lattice parameters (Å, degrees): 2.814 2.814 14.014 90.00 90.00 90.00
Fractional positions:
Zr  0.000  0.000  0.000
Zr  0.500  0.500  0.500
Cd  0.000  0.000  0.677
Cd  0.500  0.500  0.177
W  0.000  0.000  0.337
W  0.500  0.500  0.837

***

Computed, not measured: BaHgMo2 after structural relaxation at the PBEsol level of DFT.

Results
energy of formation = 789 meV/atom
energy = -0.424 Ry per atom
V = 24.50 A^3/atom
crystal system = tetragonal

Lattice parameters (Å, degrees): 3.691 3.691 7.193 90.00 90.00 90.00
Fractional positions:
Ba  0.000  0.000  0.000
Hg  0.000  0.000  0.500
Mo  0.500  0.500  0.350
Mo  0.500  0.500  0.650

***

Computed, not measured: Li2PbCl after structural relaxation at the PBEsol level of DFT.

Results
energy = -0.216 Ry per atom
formation energy without anion corrections = -1.81 eV per formula unit
V = 21.29 A^3/atom
crystal system = tetragonal
energy relative to the lowest polymorph listed for this composition = 231.9 meV/atom

Lattice parameters (Å, degrees): 4.410 4.410 8.756 90.00 90.00 90.00
Fractional positions:
Li  0.000  0.500  0.250
Li  0.000  0.500  0.750
Li  0.500  0.000  0.250
Li  0.500  0.000  0.750
Pb  0.000  0.000  0.000
Pb  0.500  0.500  0.500
Cl  0.000  0.000  0.500
Cl  0.500  0.500  0.000

***

The highest energy belongs to which entry? K2MgBe